Density functional theory data (GGA-PBE) for a relaxed PrSmDy2Bi4 crystal.

```
PrSmDy2Bi4
1.0
-3.7987 -0.1726 2.4851
3.1579 -5.6646 4.4337
3.8196 3.2368 6.0636
Sm Dy Bi Pr
1 2 4 1
Direct
0.0000 0.5000 0.5000
0.5000 0.0000 0.5000
0.0000 0.0000 0.0000
0.5000 0.7574 0.2499
0.0000 0.2410 0.2554
0.0000 0.7590 0.7446
0.5000 0.2426 0.7501
0.5000 0.5000 0.0000
```

Output
space-group type = P2/m (10)
theoretical density = 9.1 g cm⁻³
electronic total energy = -5.176 eV per atom
size of the total moment = 0.000 μB per cell

Density functional theory data (GGA-PBE) for a relaxed KLu3F10 crystal.

```
KLu3F10
1.0
-3.7528 7.0830 -0.6698
-7.7226 0.6785 2.1452
-1.9909 4.1371 6.6047
Lu F K
6 20 2
Direct
0.7593 0.2407 0.7593
0.2407 0.7593 0.7593
0.7593 0.2407 0.2407
0.2407 0.2407 0.7593
0.2407 0.7593 0.2407
0.7593 0.7593 0.2407
0.6649 0.1117 0.1117
0.8883 0.3351 0.8883
0.1117 0.1117 0.1117
0.1707 0.8293 0.5000
0.5000 0.1707 0.8293
0.5000 0.1707 0.5000
0.1707 0.5000 0.5000
0.5000 0.5000 0.8293
0.8293 0.5000 0.1707
0.1117 0.1117 0.6649
0.8883 0.8883 0.3351
0.3351 0.8883 0.8883
0.1117 0.6649 0.1117
0.8883 0.8883 0.8883
0.5000 0.8293 0.5000
0.5000 0.5000 0.1707
0.5000 0.8293 0.1707
0.8293 0.1707 0.5000
0.1707 0.5000 0.8293
0.8293 0.5000 0.5000
0.2500 0.2500 0.2500
0.7500 0.7500 0.7500
```

Output
space-group type = Fm-3m (225)
theoretical density = 6.8 g cm⁻³
ΔE_f (raw) = -4.014 eV/atom
size of the total moment = 0.292 μB per cell

Density functional theory data (GGA-PBE) for a relaxed Cu2ReAsN crystal.

```
Cu2ReAsN
1.0
4.8370 0.0000 0.0000
0.0000 3.7060 0.0000
0.0000 0.0000 4.8370
N Re Cu As
1 1 2 1
Direct
0.0000 0.5000 0.0000
0.0000 0.0000 0.0000
0.0000 0.0000 0.5000
0.5000 0.0000 0.0000
0.5000 0.5000 0.5000
```

Output
space-group type = P4/mmm (123)
theoretical density = 7.7 g cm⁻³
ΔE_f (raw) = 0.959 eV/atom
size of the total moment = 0.000 μB per cell

Density functional theory data (GGA-PBE) for a relaxed DyGa5Co2Cu crystal.

```
DyGa5Co2Cu
1.0
-1.7282 2.9246 -3.1150
0.7332 -3.1073 -3.3241
-6.4850 -2.6837 1.0782
Co Dy Ga Cu
2 1 5 1
Direct
0.5000 0.5000 0.1846
0.5000 0.5000 0.8154
0.0000 0.0000 0.5000
0.5000 0.5000 0.5000
0.5000 0.0000 0.8046
0.0000 0.5000 0.8046
0.5000 0.0000 0.1954
0.0000 0.5000 0.1954
0.0000 0.0000 0.0000
```

Output
space-group type = P4/mmm (123)
theoretical density = 7.6 g cm⁻³
electronic total energy = -4.334 eV per atom
size of the total moment = 0.004 μB per cell

Density functional theory data (GGA-PBE) for a relaxed Cs3HgCl5 crystal.

```
Cs3HgCl5
1.0
8.2389 0.0000 -4.5328
-2.4938 7.8524 -4.5328
0.2865 0.3915 10.2747
Cs Cl Hg
6 10 2
Direct
0.3365 0.8365 0.0000
0.6635 0.1635 0.0000
0.8365 0.6635 0.0000
0.2500 0.2500 0.5000
0.1635 0.3365 0.0000
0.7500 0.7500 0.5000
0.0000 0.0000 0.0000
0.5008 0.2980 0.2988
0.5000 0.5000 0.0000
0.4992 0.7020 0.7012
0.2980 0.7980 0.2988
0.2020 0.9992 0.7012
0.9992 0.4992 0.7012
0.7980 0.0008 0.2988
0.0008 0.5008 0.2988
0.7020 0.2020 0.7012
0.2500 0.7500 0.5000
0.7500 0.2500 0.5000
```

Output
space-group type = I4/mcm (140)
theoretical density = 3.7 g cm⁻³
ΔE_f (raw) = -1.546 eV/atom
size of the total moment = 0.270 μB per cell

Density functional theory data (GGA-PBE) for a relaxed CaLaPCl2 crystal.

```
CaLaPCl2
1.0
-0.8646 -4.6850 -2.2591
-2.0870 -3.0548 7.1339
-5.0177 1.3543 -0.8880
P La Cl Ca
1 1 2 1
Direct
0.5000 0.5000 0.5000
0.0000 0.0000 0.0000
0.5000 0.0000 0.0000
0.0000 0.0000 0.5000
0.0000 0.5000 0.0000
```

Output
space-group type = P4/mmm (123)
theoretical density = 2.1 g cm⁻³
ΔE_f (raw) = -0.640 eV/atom
size of the total moment = 2.000 μB per cell

Density functional theory data (GGA-PBE) for a relaxed KNa2Zn2Bi2 crystal.

```
KNa2Zn2Bi2
1.0
4.8794 0.0000 0.0000
-2.4397 4.2135 -0.3063
0.0000 -2.0855 10.1409
Bi Na Zn K
2 2 2 1
Direct
0.2504 0.5007 0.7511
0.7496 0.4993 0.2489
0.1416 0.2833 0.4249
0.8584 0.7167 0.5751
0.5550 0.1100 0.6652
0.4450 0.8900 0.3348
0.0000 0.0000 0.0000
```

Output
space-group type = R-3m (166)
theoretical density = 5.1 g cm⁻³
electronic total energy = -2.220 eV per atom
size of the total moment = 0.000 μB per cell

Density functional theory data (GGA-PBE) for a relaxed AsRuO2F crystal.

```
AsRuO2F
1.0
4.0320 0.0000 0.0000
0.0000 4.0320 0.0000
0.0000 0.0000 4.0531
As F O Ru
1 1 2 1
Direct
0.0000 0.0000 0.0000
0.0000 0.0000 0.5000
0.5000 0.0000 0.0000
0.0000 0.5000 0.0000
0.5000 0.5000 0.5000
```

Output
space-group type = P4/mmm (123)
theoretical density = 5.7 g cm⁻³
ΔE_f (raw) = -0.112 eV/atom
size of the total moment = 3.526 μB per cell